Below is a geometry-optimized Cu2TeW structure, with properties calculated at the PBE level.

Unit cell a=5.006 b=5.006 c=5.006 alpha=134.76 beta=134.76 gamma=65.90
Atoms (fractional coordinates):
Cu 0.000 0.000 0.000
Cu 0.750 0.250 0.500
Te 0.500 0.500 0.000
W 0.250 0.750 0.500

Calculated values
Fermi-level density of states: 0.242 states/eV/atom
Formation energy (no corrections): 44.80 kJ per mole of atoms
Final energy: -22.43 eV per cell